3
Lattice="3.772 0.000 0.000 -1.886 3.266 0.000 0.000 0.000 9.368" Properties=species:S:1:pos:R:3 comment="AcEuTh | Alexandria | PBE | optimized geometry" delta_e_f_ev_per_atom=0.1151 de_polymorph_mev_per_atom=0 sg="P3m1, No. 156" total_energy_ev_per_cell=-21.5 pbc="T T T"
Ac 0.000 0.000 0.000
Eu 1.886 1.089 3.390
Th 0.000 2.177 6.399